Here is a relaxed CsGa3Se crystal from Alexandria. Energies are from PBE.

Cell: 6.0872 6.0872 6.0872 Å, 90.00 90.00 90.00°
Fractional positions:
Cs: 0.0000 0.0000 0.0000
Ga: 0.0000 0.0000 0.5000
Ga: 0.0000 0.5000 0.0000
Ga: 0.5000 0.0000 0.0000
Se: 0.5000 0.5000 0.5000

Properties
**E_form (uncorrected)**: 5.79 eV per formula unit
**Magnetization**: 0.00 μB/f.u.
**Offset from the most stable computed form**: 962 meV/atom
**Calculated density**: 3.1 g/cm³
**Density of states at the Fermi level**: 3.99 states/eV per cell